This record from Alexandria via LeMat-Bulk describes a relaxed HfSc3Pt3 crystal. The functional is PBE.

Cell lengths 6.6437, 6.6437, 6.3277 Å; angles 90.00, 90.00, 89.06 degrees
Last column: nearest neighbours and their distance in Å.
Fractional coordinates of all 14 atoms:
Sc (0.7442, 0.7442, 0.5000)  6 Pt 2.82-2.94
Pt (0.9999, 0.5000, 0.2483)  2 Hf 2.81, 6 Sc 2.82-2.85, 1 Pt 3.14
Hf (0.2510, 0.2510, 0.9999)  6 Pt 2.81
Sc (0.7323, 0.2677, 0.0000)  6 Pt 2.85-2.91, 2 Sc 3.17
Sc (0.2677, 0.7323, 0.0000)  6 Pt 2.85-2.91, 2 Sc 3.17
Pt (0.0002, 0.0002, 0.2364)  2 Hf 2.81, 6 Sc 2.84-2.94, 1 Pt 2.99
Pt (0.5000, 0.9999, 0.2483)  2 Hf 2.81, 6 Sc 2.82-2.85, 1 Pt 3.14
Hf (0.7490, 0.7490, 0.0001)  6 Pt 2.81
Pt (0.9998, 0.9998, 0.7636)  2 Hf 2.81, 6 Sc 2.84-2.94, 1 Pt 2.99
Sc (0.2469, 0.7531, 0.5000)  6 Pt 2.84-2.85, 2 Sc 3.17
Pt (0.0001, 0.5000, 0.7517)  2 Hf 2.81, 6 Sc 2.82-2.85, 1 Pt 3.14
Sc (0.7531, 0.2469, 0.5000)  6 Pt 2.84-2.85, 2 Sc 3.17
Sc (0.2558, 0.2558, 0.5000)  6 Pt 2.82-2.94
Pt (0.5000, 0.0001, 0.7517)  2 Hf 2.81, 6 Sc 2.82-2.85, 1 Pt 3.14

Computed properties:
Energy of formation from the pure elements, meV per atom: -930
Theoretical density, g/cm3: 10.69
Spin magnetization, μB/f.u.: 0.0
DOS(E_F), states/eV per cell: 11.48